Record 1
VASP calculation (PBE-GGA) on an optimized crystal structure of Zn2NiAg.

The structure belongs to space group P4/mmm (No. 123); the cell edges are 3.905, 3.905 and 3.717 Å and the angles 90.00°, 90.00° and 90.00°. Symmetry generates all atoms from Zn at (0.000, 0.500, 0.000), Ni at (0.000, 0.000, 0.500) and Ag at (0.500, 0.500, 0.500).

The calculation puts the energy of formation at -6.01 kJ per mole of atoms. The volume comes out at 57 Å³/cell. As for the crystal system: tetragonal.

***

Record 2
VASP calculation (PBE-GGA) on an optimized crystal structure of Zn2NiAg.

The structure belongs to space group C2/m (No. 12); the cell edges are 8.565, 2.809 and 4.900 Å and the angles 90.00°, 101.80° and 90.00°. Symmetry generates all atoms from Zn at (0.240, 0.000, 0.224), Ni at (0.000, 0.500, 0.000) and Ag at (0.000, 0.000, 0.500).

The calculation puts the energy of formation at -4.03 kJ per mole of atoms. The volume comes out at 115 Å³/cell. As for the crystal system: monoclinic.

***

Copy entry 2 word for word.
VASP calculation (PBE-GGA) on an optimized crystal structure of Zn2NiAg.

The structure belongs to space group C2/m (No. 12); the cell edges are 8.565, 2.809 and 4.900 Å and the angles 90.00°, 101.80° and 90.00°. Symmetry generates all atoms from Zn at (0.240, 0.000, 0.224), Ni at (0.000, 0.500, 0.000) and Ag at (0.000, 0.000, 0.500).

The calculation puts the energy of formation at -4.03 kJ per mole of atoms. The volume comes out at 115 Å³/cell. As for the crystal system: monoclinic.

***

Question: What is the energy of formation in the second record?
Answer: -4.03 kJ per mole of atoms

***

Question: Which of these has the highest volume?
Answer: number 2